[1]
A geometry-optimized Li2PuHfN4 structure. Source: the Alexandria database, functional PBE.

Lattice parameters (Å, degrees): 3.3424 5.3719 5.6130 71.40 90.00 90.00
Closest atoms and distances in Å follow each position.
Fractional coordinates of all 8 atoms:
Li 0.5000 0.0000 0.5000  6 N 2.30-2.42
N 0.5000 0.2835 0.7320  1 Hf 2.18, 2 Pu 2.21, 3 Li 2.30-2.43
N 0.0000 0.7094 0.7572  1 Pu 2.09, 2 Hf 2.22
Hf 0.5000 0.5000 0.0000  6 N 2.18-2.22
N 0.5000 0.7165 0.2680  1 Hf 2.18, 2 Pu 2.21, 3 Li 2.30-2.43
Pu 0.0000 0.5000 0.5000  6 N 2.09-2.21
N 0.0000 0.2906 0.2428  1 Pu 2.09, 2 Hf 2.22
Li 0.0000 0.0000 0.0000  6 N 2.38-2.43

## Properties
The calculated volume is 96 Å³/f.u. Its theoretical density is 8.56 g cm⁻³. As for the space group: P2/m. As for the uncorrected formation energy: -8.245 eV per formula unit. The value obtained for the density of states at the Fermi level is 0.35 states/eV/atom. The calculation puts the total energy at -8.707 eV/atom.

[2]
A geometry-optimized LiHf2RhN structure. Source: the Alexandria database, functional PBE.

Lattice parameters (Å, degrees): 4.4146 4.4146 3.7272 90.00 90.00 90.00
Closest atoms and distances in Å follow each position.
Fractional coordinates of all 5 atoms:
Hf 0.0000 0.5000 0.0000  2 N 2.21
Hf 0.5000 0.0000 0.0000  2 N 2.21
N 0.0000 0.0000 0.0000  2 Li 1.86
Rh 0.5000 0.5000 0.5000  8 Hf 2.89, 4 Li 3.12
Li 0.0000 0.0000 0.5000  2 N 1.86

## Properties
The calculated volume is 73 Å³/f.u. Its theoretical density is 10.99 g cm⁻³. As for the space group: P4/mmm. As for the uncorrected formation energy: -4.743 eV per formula unit. The value obtained for the density of states at the Fermi level is 0.58 states/eV/atom. The calculation puts the total energy at -8.448 eV/atom.

[3]
A geometry-optimized LiHf2RuN structure. Source: the Alexandria database, functional PBE.

Lattice parameters (Å, degrees): 4.4172 4.4172 3.7072 90.00 90.00 90.00
Closest atoms and distances in Å follow each position.
Fractional coordinates of all 5 atoms:
N 0.0000 0.0000 0.0000  2 Li 1.85
Li 0.0000 0.0000 0.5000  2 N 1.85
Hf 0.0000 0.5000 0.0000  2 N 2.21
Hf 0.5000 0.0000 0.0000  2 N 2.21
Ru 0.5000 0.5000 0.5000  8 Hf 2.88, 4 Li 3.12

## Properties
The calculated volume is 72 Å³/f.u. Its theoretical density is 11.00 g cm⁻³. As for the space group: P4/mmm. As for the uncorrected formation energy: -3.841 eV per formula unit. The value obtained for the density of states at the Fermi level is 0.75 states/eV/atom. The calculation puts the total energy at -8.653 eV/atom.